Record 1
Computed, not measured: a relaxed structure of Ni2HgPt at the GGA-PBE level of DFT.

Uncorrected energy   -4.315 eV/atom
Calculated volume   60.1 Å³/f.u.
Density of states at the Fermi level   5.4 states/eV/cell

Cell: 4.560 4.560 4.965 Å, 79.87 79.87 36.30°
Fractional positions:
1 Ni 0.246 0.246 0.787
2 Ni 0.754 0.754 0.213
3 Hg 0.000 0.000 0.500
4 Pt 0.500 0.500 0.000


Record 2
Computed, not measured: a relaxed structure of Re2AsPt at the GGA-PBE level of DFT.

Uncorrected energy   -8.531 eV/atom
Calculated volume   61.0 Å³/f.u.
Density of states at the Fermi level   2.1 states/eV/cell

Cell: 4.786 4.786 4.786 Å, 131.05 131.05 71.73°
Fractional positions:
1 Re 0.000 0.000 0.000
2 Re 0.250 0.750 0.500
3 As 0.500 0.500 0.000
4 Pt 0.750 0.250 0.500


Record 3
Computed, not measured: a relaxed structure of YZn2Hg at the GGA-PBE level of DFT.

Uncorrected energy   -2.555 eV/atom
Calculated volume   87.5 Å³/f.u.
Density of states at the Fermi level   2.8 states/eV/cell

Cell: 4.652 3.476 5.412 Å, 90.03 90.00 90.00°
Fractional positions:
1 Hg 0.500 0.250 0.250
2 Y 0.500 0.750 0.750
3 Zn 0.000 0.251 0.987
4 Zn 0.000 0.249 0.513


Record 4
Computed, not measured: a relaxed structure of KPu2PdS4 at the GGA-PBE level of DFT.

Raw formation energy   -1.40 eV per atom
Calculated volume   188.0 Å³/f.u.
Density of states at the Fermi level   33.0 states/eV/cell

Cell: 4.025 7.030 13.869 Å, 90.00 90.00 106.63°
Fractional positions:
1 K 0.110 0.221 0.750
2 K 0.890 0.779 0.250
3 Pu 0.367 0.734 0.564
4 Pu 0.633 0.266 0.064
5 Pu 0.633 0.266 0.436
6 Pu 0.367 0.734 0.936
7 Pd 0.834 0.668 0.750
8 Pd 0.166 0.332 0.250
9 S 0.263 0.527 0.103
10 S 0.737 0.473 0.603
11 S 0.737 0.473 0.897
12 S 0.263 0.527 0.397
13 S 0.000 0.000 0.500
14 S 0.000 0.000 0.000
15 S 0.433 0.867 0.750
16 S 0.567 0.133 0.250


Record 5
Computed, not measured: a relaxed structure of CrSi2W at the GGA-PBE level of DFT.

Raw formation energy   -0.07 eV per atom
Polymorph energy (0 for the lowest one)   197 meV/atom
Calculated volume   53.4 Å³/f.u.
Density of states at the Fermi level   2.8 states/eV/cell

Cell: 4.606 4.606 4.328 Å, 74.94 74.94 37.21°
Fractional positions:
1 Cr 0.258 0.258 0.198
2 Si 0.998 0.998 0.039
3 Si 0.748 0.748 0.721
4 W 0.496 0.496 0.542


Record 6
Computed, not measured: a relaxed structure of Cs2KZnRu at the GGA-PBE level of DFT.

Uncorrected energy   -1.294 eV/atom
Calculated volume   352.6 Å³/f.u.
Density of states at the Fermi level   5.7 states/eV/cell

Cell: 7.615 6.081 7.615 Å, 90.00 90.00 90.00°
Fractional positions:
1 Cs 0.000 0.000 0.500
2 Cs 0.500 0.000 0.000
3 Ru 0.500 0.500 0.500
4 Zn 0.000 0.500 0.000
5 K 0.000 0.000 0.000


Record 7
Computed, not measured: a relaxed structure of TaCr2Os at the GGA-PBE level of DFT.

Polymorph energy (0 for the lowest one)   38 meV/atom
Calculated volume   55.5 Å³/f.u.
Density of states at the Fermi level   3.7 states/eV/cell

Cell: 4.288 4.288 3.020 Å, 90.00 90.00 90.00°
Fractional positions:
1 Cr 0.000 0.000 0.000
2 Cr 0.500 0.500 0.000
3 Os 0.500 0.000 0.500
4 Ta 0.000 0.500 0.500


Record 8
Computed, not measured: a relaxed structure of Ca2DyTmSe4 at the GGA-PBE level of DFT.

Raw formation energy   -1.85 eV per atom
Calculated volume   197.2 Å³/f.u.
Density of states at the Fermi level   3.4 states/eV/cell

Cell: 4.091 7.083 7.205 Å, 109.16 90.00 90.00°
Fractional positions:
1 Ca 0.500 0.000 0.500
2 Ca 0.000 0.500 0.500
3 Dy 0.500 0.500 0.000
4 Tm 0.000 0.000 0.000
5 Se 0.500 0.245 0.242
6 Se 0.500 0.755 0.758
7 Se 0.000 0.249 0.756
8 Se 0.000 0.751 0.244